Entry 1:
# Ac6La2Tb5, optimized geometry, DFT PBE-GGA
# - size of the total moment (μB per formula unit) = 0.0
# - total DFT energy (no corrections) (eV per atom) = -4.30
# - V (A^3/atom) = 39.40
data_Ac6La2Tb5
_chemical_formula_sum 'Ac12 La4 Tb10'
_symmetry_space_group_name_H-M 'P b a m'
_symmetry_Int_Tables_number 55
_cell_length_a 12.488
_cell_length_b 21.465
_cell_length_c 3.821
_cell_angle_alpha 90.00
_cell_angle_beta 90.00
_cell_angle_gamma 90.00
loop_
_symmetry_equiv_pos_as_xyz
'x,y,z'
'-x,-y,-z'
'-x,-y,z'
'x,y,-z'
'x+1/2,-y+1/2,-z'
'-x+1/2,y+1/2,z'
'-x+1/2,y+1/2,-z'
'x+1/2,-y+1/2,z'
loop_
_atom_site_label
_atom_site_fract_x
_atom_site_fract_y
_atom_site_fract_z
Ac1 0.045 0.082 0.000
Ac2 0.082 0.366 0.000
Ac3 0.184 0.625 0.500
La1 0.165 0.783 0.000
Tb1 0.000 0.500 0.500
Tb2 0.092 0.225 0.500
Tb3 0.206 0.947 0.500

Entry 2:
# Ac2La5Tb2, optimized geometry, DFT PBE-GGA
# - size of the total moment (μB per formula unit) = 0.0
# - total DFT energy (no corrections) (eV per atom) = -4.62
# - V (A^3/atom) = 37.97
data_Ac2La5Tb2
_chemical_formula_sum 'Ac2 La5 Tb2'
_symmetry_space_group_name_H-M 'P -1'
_symmetry_Int_Tables_number 2
_cell_length_a 6.285
_cell_length_b 6.909
_cell_length_c 9.084
_cell_angle_alpha 82.17
_cell_angle_beta 72.71
_cell_angle_gamma 65.13
loop_
_symmetry_equiv_pos_as_xyz
'x,y,z'
'-x,-y,-z'
loop_
_atom_site_label
_atom_site_fract_x
_atom_site_fract_y
_atom_site_fract_z
Ac1 0.237 0.100 0.385
La1 0.138 0.640 0.242
La2 0.226 0.817 0.851
La3 0.500 0.500 0.500
Tb1 0.315 0.264 0.942

Entry 3:
# Ac4La5Tb, optimized geometry, DFT PBE-GGA
# - size of the total moment (μB per formula unit) = 0.0
# - total DFT energy (no corrections) (eV per atom) = -4.28
# - offset from the most stable computed form (meV per atom) = 45.4
# - V (A^3/atom) = 42.10
data_Ac4La5Tb
_chemical_formula_sum 'Ac8 La10 Tb2'
_symmetry_space_group_name_H-M 'P m m n'
_symmetry_Int_Tables_number 59
_cell_length_a 7.386
_cell_length_b 8.994
_cell_length_c 12.676
_cell_angle_alpha 90.00
_cell_angle_beta 90.00
_cell_angle_gamma 90.00
loop_
_symmetry_equiv_pos_as_xyz
'x,y,z'
'-x,-y,-z'
'-x+1/2,-y+1/2,z'
'x+1/2,y+1/2,-z'
'x+1/2,-y,-z'
'-x+1/2,y,z'
'-x,y+1/2,-z'
'x,-y+1/2,z'
loop_
_atom_site_label
_atom_site_fract_x
_atom_site_fract_y
_atom_site_fract_z
Ac1 0.000 0.250 0.032
Ac2 0.250 0.008 0.499
La1 0.001 0.069 0.770
La2 0.250 0.750 0.712
Tb1 0.250 0.250 0.279

Entry 4:
# AcLa2Tb6, optimized geometry, DFT PBE-GGA
# - size of the total moment (μB per formula unit) = 0.0
# - total DFT energy (no corrections) (eV per atom) = -4.57
# - offset from the most stable computed form (meV per atom) = 0.0
# - V (A^3/atom) = 34.75
data_AcLa2Tb6
_chemical_formula_sum 'Ac2 La4 Tb12'
_symmetry_space_group_name_H-M 'P -1'
_symmetry_Int_Tables_number 2
_cell_length_a 6.185
_cell_length_b 10.016
_cell_length_c 10.560
_cell_angle_alpha 104.96
_cell_angle_beta 97.17
_cell_angle_gamma 92.07
loop_
_symmetry_equiv_pos_as_xyz
'x,y,z'
'-x,-y,-z'
loop_
_atom_site_label
_atom_site_fract_x
_atom_site_fract_y
_atom_site_fract_z
Ac1 0.000 0.000 0.000
Ac2 0.500 0.500 0.500
La1 0.052 0.645 0.760
La2 0.412 0.157 0.278
Tb1 0.025 0.329 0.892
Tb2 0.081 0.305 0.564
Tb3 0.105 0.004 0.666
Tb4 0.395 0.838 0.381
Tb5 0.463 0.514 0.159
Tb6 0.490 0.825 0.051

Entry 5:
# Ac12LaTb5, optimized geometry, DFT PBE-GGA
# - size of the total moment (μB per formula unit) = 0.0
# - total DFT energy (no corrections) (eV per atom) = -4.25
# - V (A^3/atom) = 40.86
data_Ac12LaTb5
_chemical_formula_sum 'Ac24 La2 Tb10'
_symmetry_space_group_name_H-M 'C 1 2/m 1'
_symmetry_Int_Tables_number 12
_cell_length_a 20.064
_cell_length_b 11.591
_cell_length_c 6.681
_cell_angle_alpha 90.00
_cell_angle_beta 108.80
_cell_angle_gamma 90.00
loop_
_symmetry_equiv_pos_as_xyz
'x,y,z'
'-x,-y,-z'
'-x,y,-z'
'x,-y,z'
'x+1/2,y+1/2,z'
'-x+1/2,-y+1/2,-z'
'-x+1/2,y+1/2,-z'
'x+1/2,-y+1/2,z'
loop_
_atom_site_label
_atom_site_fract_x
_atom_site_fract_y
_atom_site_fract_z
Ac1 0.000 0.163 0.000
Ac2 0.000 0.334 0.500
Ac3 0.167 0.164 0.499
Ac4 0.167 0.336 0.000
La1 0.000 0.500 0.000
Tb1 0.000 0.000 0.500
Tb2 0.167 0.000 0.000
Tb3 0.168 0.500 0.504

Entry 6:
# Ac7La3Tb2, optimized geometry, DFT PBE-GGA
# - size of the total moment (μB per formula unit) = 0.0
# - total DFT energy (no corrections) (eV per atom) = -4.30
# - V (A^3/atom) = 41.10
data_Ac7La3Tb2
_chemical_formula_sum 'Ac7 La3 Tb2'
_symmetry_space_group_name_H-M 'P 1 2/m 1'
_symmetry_Int_Tables_number 10
_cell_length_a 6.992
_cell_length_b 3.793
_cell_length_c 18.705
_cell_angle_alpha 90.00
_cell_angle_beta 96.23
_cell_angle_gamma 90.00
loop_
_symmetry_equiv_pos_as_xyz
'x,y,z'
'-x,-y,-z'
'-x,y,-z'
'x,-y,z'
loop_
_atom_site_label
_atom_site_fract_x
_atom_site_fract_y
_atom_site_fract_z
Ac1 0.000 0.000 0.000
Ac2 0.228 0.500 0.175
Ac3 0.253 0.500 0.495
Ac4 0.272 0.000 0.828
La1 0.461 0.000 0.342
La2 0.500 0.500 0.000
Tb1 0.055 0.500 0.669

Entry 7:
# AcLa7Tb3, optimized geometry, DFT PBE-GGA
# - size of the total moment (μB per formula unit) = 0.0
# - total DFT energy (no corrections) (eV per atom) = -4.59
# - offset from the most stable computed form (meV per atom) = 0.0
# - V (A^3/atom) = 37.50
data_AcLa7Tb3
_chemical_formula_sum 'Ac1 La7 Tb3'
_symmetry_space_group_name_H-M 'P 3 m 1'
_symmetry_Int_Tables_number 156
_cell_length_a 7.4047
_cell_length_b 7.4047
_cell_length_c 8.6874
_cell_angle_alpha 90.00
_cell_angle_beta 90.00
_cell_angle_gamma 120.00
loop_
_symmetry_equiv_pos_as_xyz
'x,y,z'
'-y,x-y,z'
'-x+y,-x,z'
'-y,-x,z'
'-x+y,y,z'
'x,x-y,z'
loop_
_atom_site_label
_atom_site_fract_x
_atom_site_fract_y
_atom_site_fract_z
Ac1 0.0000 0.0000 0.0000
La1 0.3333 0.6667 0.6979
La2 0.3409 0.1704 0.6639
La3 0.5020 0.0041 0.0319
Tb1 0.1679 0.3358 0.3510

Entry 8:
# Ac2La9Tb, optimized geometry, DFT PBE-GGA
# - size of the total moment (μB per formula unit) = 0.0
# - total DFT energy (no corrections) (eV per atom) = -4.75
# - V (A^3/atom) = 37.44
data_Ac2La9Tb
_chemical_formula_sum 'Ac2 La9 Tb1'
_symmetry_space_group_name_H-M 'P 4/m m m'
_symmetry_Int_Tables_number 123
_symmetry_space_group_name_Hall '-P 4 2'
_cell_length_a 5.312
_cell_length_b 5.312
_cell_length_c 15.921
_cell_angle_alpha 90.00
_cell_angle_beta 90.00
_cell_angle_gamma 90.00
loop_
_atom_site_label
_atom_site_fract_x
_atom_site_fract_y
_atom_site_fract_z
Ac1 0.000 0.000 0.169
La1 0.000 0.500 0.000
La2 0.000 0.500 0.339
La3 0.500 0.500 0.170
La4 0.500 0.500 0.500
Tb1 0.000 0.000 0.500

Entry 9:
# Ac7LaTb2, optimized geometry, DFT PBE-GGA
# - size of the total moment (μB per formula unit) = 0.0
# - total DFT energy (no corrections) (eV per atom) = -3.69
# - V (A^3/atom) = 51.60
data_Ac7LaTb2
_chemical_formula_sum 'Ac14 La2 Tb4'
_symmetry_space_group_name_H-M 'C m m m'
_symmetry_Int_Tables_number 65
_symmetry_space_group_name_Hall '-C 2 2'
_cell_length_a 10.190
_cell_length_b 16.469
_cell_length_c 6.150
_cell_angle_alpha 90.00
_cell_angle_beta 90.00
_cell_angle_gamma 90.00
loop_
_atom_site_label
_atom_site_fract_x
_atom_site_fract_y
_atom_site_fract_z
Ac1 0.000 0.000 0.000
Ac2 0.000 0.255 0.500
Ac3 0.185 0.373 0.000
La1 0.000 0.500 0.500
Tb1 0.000 0.200 0.000

Entry 10:
# AcLaTb5, optimized geometry, DFT PBE-GGA
# - size of the total moment (μB per formula unit) = 0.0
# - total DFT energy (no corrections) (eV per atom) = -4.50
# - V (A^3/atom) = 35.10
data_AcLaTb5
_chemical_formula_sum 'Ac4 La4 Tb20'
_symmetry_space_group_name_H-M 'C 1 2/c 1'
_symmetry_Int_Tables_number 15
_cell_length_a 9.013
_cell_length_b 9.977
_cell_length_c 11.650
_cell_angle_alpha 90.00
_cell_angle_beta 110.24
_cell_angle_gamma 90.00
loop_
_symmetry_equiv_pos_as_xyz
'x,y,z'
'-x,-y,-z'
'-x,y,-z+1/2'
'x,-y,z+1/2'
'x+1/2,y+1/2,z'
'-x+1/2,-y+1/2,-z'
'-x+1/2,y+1/2,-z+1/2'
'x+1/2,-y+1/2,z+1/2'
loop_
_atom_site_label
_atom_site_fract_x
_atom_site_fract_y
_atom_site_fract_z
Ac1 0.250 0.250 0.000
La1 0.000 0.233 0.250
Tb1 0.000 0.424 0.750
Tb2 0.127 0.076 0.667
Tb3 0.168 0.398 0.535

Entry 11:
# Ac2La3Tb, optimized geometry, DFT PBE-GGA
# - size of the total moment (μB per formula unit) = 0.0
# - total DFT energy (no corrections) (eV per atom) = -4.52
# - V (A^3/atom) = 38.62
data_Ac2La3Tb
_chemical_formula_sum 'Ac8 La12 Tb4'
_symmetry_space_group_name_H-M 'C 1 2/c 1'
_symmetry_Int_Tables_number 15
_cell_length_a 12.162
_cell_length_b 7.332
_cell_length_c 11.962
_cell_angle_alpha 90.00
_cell_angle_beta 119.67
_cell_angle_gamma 90.00
loop_
_symmetry_equiv_pos_as_xyz
'x,y,z'
'-x,-y,-z'
'-x,y,-z+1/2'
'x,-y,z+1/2'
'x+1/2,y+1/2,z'
'-x+1/2,-y+1/2,-z'
'-x+1/2,y+1/2,-z+1/2'
'x+1/2,-y+1/2,z+1/2'
loop_
_atom_site_label
_atom_site_fract_x
_atom_site_fract_y
_atom_site_fract_z
Ac1 0.172 0.002 0.086
La1 0.000 0.250 0.250
La2 0.150 0.498 0.074
Tb1 0.000 0.250 0.750

Entry 12:
# AcLaTb3, optimized geometry, DFT PBE-GGA
# - size of the total moment (μB per formula unit) = 0.0
# - total DFT energy (no corrections) (eV per atom) = -4.54
# - offset from the most stable computed form (meV per atom) = 0.0
# - V (A^3/atom) = 35.43
data_AcLaTb3
_chemical_formula_sum 'Ac4 La4 Tb12'
_symmetry_space_group_name_H-M 'C 1 2/m 1'
_symmetry_Int_Tables_number 12
_cell_length_a 18.714
_cell_length_b 5.255
_cell_length_c 7.316
_cell_angle_alpha 90.00
_cell_angle_beta 99.90
_cell_angle_gamma 90.00
loop_
_symmetry_equiv_pos_as_xyz
'x,y,z'
'-x,-y,-z'
'-x,y,-z'
'x,-y,z'
'x+1/2,y+1/2,z'
'-x+1/2,-y+1/2,-z'
'-x+1/2,y+1/2,-z'
'x+1/2,-y+1/2,z'
loop_
_atom_site_label
_atom_site_fract_x
_atom_site_fract_y
_atom_site_fract_z
Ac1 0.199 0.000 0.345
La1 0.098 0.500 0.043
Tb1 0.002 0.000 0.750
Tb2 0.095 0.500 0.545
Tb3 0.197 0.000 0.846

Entry 13:
# Ac3LaTb12, optimized geometry, DFT PBE-GGA
# - size of the total moment (μB per formula unit) = 0.0
# - total DFT energy (no corrections) (eV per atom) = -4.50
# - V (A^3/atom) = 34.47
data_Ac3LaTb12
_chemical_formula_sum 'Ac3 La1 Tb12'
_symmetry_space_group_name_H-M 'P 4/m m m'
_symmetry_Int_Tables_number 123
_symmetry_space_group_name_Hall '-P 4 2'
_cell_length_a 5.167
_cell_length_b 5.167
_cell_length_c 20.652
_cell_angle_alpha 90.00
_cell_angle_beta 90.00
_cell_angle_gamma 90.00
loop_
_atom_site_label
_atom_site_fract_x
_atom_site_fract_y
_atom_site_fract_z
Ac1 0.000 0.000 0.000
Ac2 0.000 0.000 0.252
La1 0.000 0.000 0.500
Tb1 0.000 0.500 0.126
Tb2 0.000 0.500 0.378
Tb3 0.500 0.500 0.000
Tb4 0.500 0.500 0.252
Tb5 0.500 0.500 0.500

Entry 14:
# Ac3LaTb6, optimized geometry, DFT PBE-GGA
# - size of the total moment (μB per formula unit) = 0.5
# - total DFT energy (no corrections) (eV per atom) = -4.08
# - V (A^3/atom) = 37.54
data_Ac3LaTb6
_chemical_formula_sum 'Ac9 La3 Tb18'
_symmetry_space_group_name_H-M 'R -3'
_symmetry_Int_Tables_number 148
_symmetry_space_group_name_Hall '-R 3'
_cell_length_a 10.1132
_cell_length_b 10.1132
_cell_length_c 12.7142
_cell_angle_alpha 90.00
_cell_angle_beta 90.00
_cell_angle_gamma 120.00
loop_
_atom_site_label
_atom_site_fract_x
_atom_site_fract_y
_atom_site_fract_z
Ac1 0.0000 0.0000 0.0000
Ac2 0.0000 0.0000 0.2616
La1 0.0000 0.0000 0.5000
Tb1 0.0006 0.6704 0.5716

Entry 15:
# Ac3La4Tb2, optimized geometry, DFT PBE-GGA
# - size of the total moment (μB per formula unit) = 0.0
# - total DFT energy (no corrections) (eV per atom) = -4.49
# - V (A^3/atom) = 38.16
data_Ac3La4Tb2
_chemical_formula_sum 'Ac12 La16 Tb8'
_symmetry_space_group_name_H-M 'C 1 2/c 1'
_symmetry_Int_Tables_number 15
_cell_length_a 17.552
_cell_length_b 12.404
_cell_length_c 6.376
_cell_angle_alpha 90.00
_cell_angle_beta 98.31
_cell_angle_gamma 90.00
loop_
_symmetry_equiv_pos_as_xyz
'x,y,z'
'-x,-y,-z'
'-x,y,-z+1/2'
'x,-y,z+1/2'
'x+1/2,y+1/2,z'
'-x+1/2,-y+1/2,-z'
'-x+1/2,y+1/2,-z+1/2'
'x+1/2,-y+1/2,z+1/2'
loop_
_atom_site_label
_atom_site_fract_x
_atom_site_fract_y
_atom_site_fract_z
Ac1 0.000 0.115 0.250
Ac2 0.169 0.384 0.083
La1 0.053 0.370 0.530
La2 0.118 0.126 0.809
Tb1 0.219 0.132 0.362

Entry 16:
# AcLa3Tb, optimized geometry, DFT PBE-GGA
# - size of the total moment (μB per formula unit) = 0.0
# - total DFT energy (no corrections) (eV per atom) = -4.39
# - offset from the most stable computed form (meV per atom) = 228.6
# - V (A^3/atom) = 39.87
data_AcLa3Tb
_chemical_formula_sum 'Ac4 La12 Tb4'
_symmetry_space_group_name_H-M 'C m c m'
_symmetry_Int_Tables_number 63
_symmetry_space_group_name_Hall '-C 2c 2'
_cell_length_a 6.647
_cell_length_b 18.037
_cell_length_c 6.651
_cell_angle_alpha 90.00
_cell_angle_beta 90.00
_cell_angle_gamma 90.00
loop_
_atom_site_label
_atom_site_fract_x
_atom_site_fract_y
_atom_site_fract_z
Ac1 0.000 0.182 0.250
La1 0.000 0.000 0.000
La2 0.239 0.361 0.250
Tb1 0.000 0.446 0.750

Entry 17:
# Ac4La8Tb, optimized geometry, DFT PBE-GGA
# - size of the total moment (μB per formula unit) = 0.0
# - total DFT energy (no corrections) (eV per atom) = -4.19
# - V (A^3/atom) = 43.69
data_Ac4La8Tb
_chemical_formula_sum 'Ac12 La24 Tb3'
_symmetry_space_group_name_H-M 'R -3 m'
_symmetry_Int_Tables_number 166
_symmetry_space_group_name_Hall '-R 3 2"'
_cell_length_a 11.8555
_cell_length_b 11.8555
_cell_length_c 13.9988
_cell_angle_alpha 90.00
_cell_angle_beta 90.00
_cell_angle_gamma 120.00
loop_
_atom_site_label
_atom_site_fract_x
_atom_site_fract_y
_atom_site_fract_z
Ac1 0.0000 0.0000 0.0000
Ac2 0.0000 0.5000 0.0000
La1 0.0000 0.0000 0.2389
La2 0.0090 0.5045 0.7398
Tb1 0.0000 0.0000 0.5000

Entry 18:
# AcLa3Tb12, optimized geometry, DFT PBE-GGA
# - size of the total moment (μB per formula unit) = 0.0
# - total DFT energy (no corrections) (eV per atom) = -4.62
# - V (A^3/atom) = 33.67
data_AcLa3Tb12
_chemical_formula_sum 'Ac1 La3 Tb12'
_symmetry_space_group_name_H-M 'P 4/m m m'
_symmetry_Int_Tables_number 123
_symmetry_space_group_name_Hall '-P 4 2'
_cell_length_a 5.128
_cell_length_b 5.128
_cell_length_c 20.484
_cell_angle_alpha 90.00
_cell_angle_beta 90.00
_cell_angle_gamma 90.00
loop_
_atom_site_label
_atom_site_fract_x
_atom_site_fract_y
_atom_site_fract_z
Ac1 0.000 0.000 0.000
La1 0.000 0.000 0.252
La2 0.000 0.000 0.500
Tb1 0.000 0.500 0.128
Tb2 0.000 0.500 0.376
Tb3 0.500 0.500 0.000
Tb4 0.500 0.500 0.252
Tb5 0.500 0.500 0.500

Entry 19:
# Ac2LaTb, optimized geometry, DFT PBE-GGA
# - size of the total moment (μB per formula unit) = 0.0
# - total DFT energy (no corrections) (eV per atom) = -4.42
# - offset from the most stable computed form (meV per atom) = 0.0
# - V (A^3/atom) = 39.27
data_Ac2LaTb
_chemical_formula_sum 'Ac2 La1 Tb1'
_symmetry_space_group_name_H-M 'P 4/m m m'
_symmetry_Int_Tables_number 123
_symmetry_space_group_name_Hall '-P 4 2'
_cell_length_a 5.428
_cell_length_b 5.428
_cell_length_c 5.331
_cell_angle_alpha 90.00
_cell_angle_beta 90.00
_cell_angle_gamma 90.00
loop_
_atom_site_label
_atom_site_fract_x
_atom_site_fract_y
_atom_site_fract_z
Ac1 0.000 0.500 0.000
La1 0.000 0.000 0.500
Tb1 0.500 0.500 0.500

| no. | ΔH_f (0 K) (eV per atom) |
| --- | --- |
| 1 | 0.140 |
| 2 | 0.062 |
| 3 | 0.287 |
| 4 | 0.069 |
| 5 | 0.051 |
| 6 | 0.101 |
| 7 | 0.179 |
| 8 | 0.013 |
| 9 | 0.603 |
| 10 | 0.096 |
| 11 | 0.080 |
| 12 | 0.044 |
| 13 | 0.046 |
| 14 | 0.423 |
| 15 | 0.095 |
| 16 | 0.317 |
| 17 | 0.465 |
| 18 | 0.034 |
| 19 | 0.028 |